Entry 1:
Compound: BiPd2I
Source: the Alexandria database
Functional: GGA-PBE
Structure: relaxed

```
BiPd2I
1.0
-4.353 4.239 -3.173
-3.150 -5.375 -2.859
-6.747 -0.820 0.756
I Bi Pd
2 2 4
direct
0.500 0.500 0.000
0.250 0.750 0.500
0.000 0.000 0.000
0.750 0.250 0.500
0.631 0.125 0.250
0.119 0.625 0.250
0.375 0.369 0.750
0.875 0.881 0.750
```

- E: -3.907 eV per atom
- Space-group type: I-42d, No. 122
- Density: 8.04 g/cm3
- Distance to the lowest polymorph of the same formula: 0.1527 eV per atom

---

Entry 2:
Compound: BiPdI
Source: the Alexandria database
Functional: GGA-PBE
Structure: relaxed

```
BiPdI
1.0
4.165 -0.004 0.007
0.005 5.427 0.448
-0.016 -0.732 9.102
Bi Pd I
2 2 2
direct
0.598 0.561 0.621
0.098 0.061 0.733
0.098 0.563 0.825
0.598 0.064 0.529
0.098 0.983 0.338
0.598 0.485 0.016
```

- E: -3.827 eV per atom
- Space-group type: Pm, No. 6
- Density: 7.09 g/cm3
- Distance to the lowest polymorph of the same formula: 0.0000 eV per atom